Record 1
Compound: Ac2Mg2Al15
Source: Alexandria via LeMat-Bulk
Functional: PBE
Structure: optimized geometry

Cell and atoms, written as CIF:
```
data_Ac2Mg2Al15
_chemical_formula_sum 'Ac6 Mg6 Al45'
_space_group_name_H-M_alt 'R -3 m'
_space_group_IT_number 166
_space_group_name_Hall '-R 3 2"'
_cell_length_a 9.6259
_cell_length_b 9.6259
_cell_length_c 14.0533
_cell_angle_alpha 90.00
_cell_angle_beta 90.00
_cell_angle_gamma 120.00
loop_
_atom_site_label
_atom_site_fract_x
_atom_site_fract_y
_atom_site_fract_z
_atom_site_occupancy
Ac1 0.0000 0.0000 0.1539 1
Mg1 0.0000 0.0000 0.3987 1
Al1 0.0000 0.2901 0.5000 1
Al2 0.0000 0.5000 0.0000 1
Al3 0.0023 0.5011 0.6523 1
```

=====

Record 2
Compound: MnGa2Ru2
Source: Alexandria via LeMat-Bulk
Functional: PBE
Structure: optimized geometry

Cell and atoms, written as CIF:
```
data_MnGa2Ru2
_chemical_formula_sum 'Mn2 Ga4 Ru4'
_space_group_name_H-M_alt 'P 4/m b m'
_space_group_IT_number 127
_space_group_name_Hall '-P 4 2ab'
_cell_length_a 6.929
_cell_length_b 6.929
_cell_length_c 3.058
_cell_angle_alpha 90.00
_cell_angle_beta 90.00
_cell_angle_gamma 90.00
loop_
_atom_site_label
_atom_site_fract_x
_atom_site_fract_y
_atom_site_fract_z
_atom_site_occupancy
Mn1 0.000 0.000 0.000 1
Ga1 0.137 0.363 0.000 1
Ru1 0.161 0.661 0.500 1
```

=====

Record 3
# SrAlSb2 (PBE, optimized geometry)
# E_form (uncorrected)   -435 meV per atom
data_SrAlSb2
_chemical_formula_sum 'Sr4 Al4 Sb8'
_space_group_name_H-M_alt 'I -4 2 d'
_space_group_IT_number 122
_space_group_name_Hall 'I -4 2bw'
_cell_length_a 8.040
_cell_length_b 8.040
_cell_length_c 7.702
_cell_angle_alpha 90.00
_cell_angle_beta 90.00
_cell_angle_gamma 90.00
loop_
_atom_site_label
_atom_site_fract_x
_atom_site_fract_y
_atom_site_fract_z
_atom_site_occupancy
Sr1 0.000 0.000 0.000 1
Al1 0.000 0.000 0.500 1
Sb1 0.187 0.750 0.625 1

=====

Record 4
# MgMo2Cl (PBE, optimized geometry)
# E_form (uncorrected)   19 meV per atom
data_MgMo2Cl
_chemical_formula_sum 'Mg2 Mo4 Cl2'
_space_group_name_H-M_alt 'C m m 2'
_space_group_IT_number 35
_space_group_name_Hall 'C 2 -2'
_cell_length_a 3.265
_cell_length_b 5.072
_cell_length_c 8.880
_cell_angle_alpha 90.00
_cell_angle_beta 90.00
_cell_angle_gamma 90.00
loop_
_atom_site_label
_atom_site_fract_x
_atom_site_fract_y
_atom_site_fract_z
_atom_site_occupancy
Mg1 0.000 0.000 0.000 1
Mo1 0.000 0.000 0.477 1
Mo2 0.000 0.500 0.269 1
Cl1 0.000 0.500 0.799 1

=====

no.,density (g/cm³),total energy (eV/atom),total moment (μB per formula unit)
1,4.0,-3.719,0.0
2,9.0,-6.883,4.4
3,4.8,-3.853,0.0
4,5.7,-6.257,0.0